Record 1
{
  "formula": "Mg4TlCd",
  "functional": "PBE",
  "state": "optimized geometry",
  "lattice_angstrom": [[5.091, -1.801, -2.430], [1.745, -5.626, 0.609], [-0.073, -3.645, -4.667]],
  "species": ["Mg", "Mg", "Mg", "Mg", "Tl", "Cd"],
  "fractional_positions": [[0.876, 0.375, 0.375], [0.375, 0.375, 0.876], [0.375, 0.876, 0.375], [0.375, 0.375, 0.375], [0.750, 0.750, 0.750], [0.000, 0.000, 0.000]],
  "rho_g_cm3": 4.68,
  "de_polymorph_mev_per_atom": 105,
  "space_group": "No. 216",
  "formation_energy_ev_per_atom": 0.06,
  "crystal_system": "cubic"
}

Record 2
{
  "formula": "Ac8LaNd2",
  "functional": "PBE",
  "state": "optimized geometry",
  "lattice_angstrom": [[6.233, 0.258, 0.220], [1.164, 9.145, -0.589], [1.164, 0.836, 9.126]],
  "species": ["Ac", "Ac", "Ac", "Ac", "Ac", "Ac", "Ac", "Ac", "La", "Nd", "Nd"],
  "fractional_positions": [[0.791, 0.141, 0.649], [0.209, 0.351, 0.859], [0.887, 0.266, 0.266], [0.113, 0.734, 0.734], [0.791, 0.649, 0.141], [0.209, 0.859, 0.351], [0.293, 0.419, 0.419], [0.707, 0.581, 0.581], [0.000, 0.000, 0.000], [0.474, 0.132, 0.132], [0.526, 0.868, 0.868]],
  "rho_g_cm3": 7.19,
  "space_group": "No. 12",
  "formation_energy_ev_per_atom": 0.37,
  "crystal_system": "monoclinic"
}

Record 3
{
  "formula": "Ca3Si2Pd3",
  "functional": "PBE",
  "state": "optimized geometry",
  "lattice_angstrom": [[-3.127, -2.380, -1.769], [0.327, -0.705, 5.620], [-9.710, 11.284, 1.981]],
  "species": ["Ca", "Ca", "Ca", "Ca", "Ca", "Ca", "Si", "Si", "Si", "Si", "Pd", "Pd", "Pd", "Pd", "Pd", "Pd"],
  "fractional_positions": [[0.928, 0.856, 0.394], [0.072, 0.144, 0.894], [0.928, 0.856, 0.106], [0.072, 0.144, 0.606], [0.630, 0.260, 0.250], [0.370, 0.740, 0.750], [0.782, 0.564, 0.896], [0.218, 0.436, 0.396], [0.782, 0.564, 0.604], [0.218, 0.436, 0.104], [0.659, 0.317, 0.463], [0.341, 0.683, 0.963], [0.659, 0.317, 0.037], [0.341, 0.683, 0.537], [0.323, 0.645, 0.250], [0.677, 0.355, 0.750]],
  "rho_g_cm3": 4.85,
  "de_polymorph_mev_per_atom": 50,
  "space_group": "No. 63",
  "formation_energy_uncorrected_ev_per_atom": -0.753,
  "crystal_system": "orthorhombic"
}

Record 4
{
  "formula": "ZrVPbC2",
  "functional": "PBE",
  "state": "optimized geometry",
  "lattice_angstrom": [[-3.873, -1.022, -0.828], [0.018, -3.280, 3.961], [-1.315, 2.980, 2.474]],
  "species": ["Pb", "C", "C", "Zr", "V"],
  "fractional_positions": [[0.500, 0.500, 0.500], [0.000, 0.000, 0.500], [0.500, 0.000, 0.000], [0.000, 0.500, 0.000], [0.000, 0.000, 0.000]],
  "rho_g_cm3": 7.21,
  "space_group": "No. 123",
  "formation_energy_ev_per_atom": 1.32,
  "crystal_system": "tetragonal"
}

Record 5
{
  "formula": "CdIn6Pb12",
  "functional": "PBE",
  "state": "optimized geometry",
  "lattice_angstrom": [[-6.795, -2.558, 5.623], [8.049, -3.301, 2.941], [0.326, 9.148, -0.729]],
  "species": ["Cd", "In", "In", "In", "In", "In", "In", "Pb", "Pb", "Pb", "Pb", "Pb", "Pb", "Pb", "Pb", "Pb", "Pb", "Pb", "Pb"],
  "fractional_positions": [[0.000, 0.000, 0.000], [0.683, 0.786, 0.534], [0.466, 0.317, 0.214], [0.214, 0.466, 0.317], [0.317, 0.214, 0.466], [0.534, 0.683, 0.786], [0.786, 0.534, 0.683], [0.939, 0.624, 0.417], [0.417, 0.939, 0.624], [0.624, 0.417, 0.939], [0.061, 0.376, 0.583], [0.583, 0.061, 0.376], [0.376, 0.583, 0.061], [0.847, 0.899, 0.263], [0.101, 0.737, 0.153], [0.737, 0.153, 0.101], [0.153, 0.101, 0.737], [0.899, 0.263, 0.847], [0.263, 0.847, 0.899]],
  "rho_g_cm3": 9.59,
  "de_polymorph_mev_per_atom": 0,
  "space_group": "No. 148",
  "formation_energy_ev_per_atom": 0.02,
  "crystal_system": "trigonal"
}

Record 6
{
  "formula": "Co2Ag2As",
  "functional": "PBE",
  "state": "optimized geometry",
  "lattice_angstrom": [[-2.980, 0.754, 4.927], [-4.801, -1.979, -2.600], [1.035, -4.171, 1.264]],
  "species": ["As", "As", "Co", "Co", "Co", "Co", "Ag", "Ag", "Ag", "Ag"],
  "fractional_positions": [[0.000, 0.000, 0.000], [0.500, 0.500, 0.000], [0.360, 0.860, 0.000], [0.860, 0.640, 0.000], [0.640, 0.140, 0.000], [0.140, 0.360, 0.000], [0.170, 0.670, 0.500], [0.670, 0.830, 0.500], [0.830, 0.330, 0.500], [0.330, 0.170, 0.500]],
  "rho_g_cm3": 8.98,
  "space_group": "No. 127",
  "formation_energy_ev_per_atom": 0.16,
  "crystal_system": "tetragonal"
}

Record 7
{
  "formula": "Cs4Tb3PuSe8",
  "functional": "PBE",
  "state": "optimized geometry",
  "lattice_angstrom": [[8.615, 0.000, 0.000], [0.000, 9.706, 0.763], [-4.307, -4.304, 6.093]],
  "species": ["Cs", "Cs", "Cs", "Cs", "Tb", "Tb", "Tb", "Pu", "Se", "Se", "Se", "Se", "Se", "Se", "Se", "Se"],
  "fractional_positions": [[0.500, 0.000, 0.000], [0.500, 0.000, 0.500], [0.000, 0.000, 0.000], [0.000, 0.000, 0.500], [0.500, 0.500, 0.000], [0.500, 0.500, 0.500], [0.000, 0.500, 0.500], [0.000, 0.500, 0.000], [0.230, 0.685, 0.956], [0.230, 0.685, 0.460], [0.271, 0.314, 0.542], [0.726, 0.685, 0.956], [0.274, 0.315, 0.044], [0.729, 0.686, 0.458], [0.770, 0.315, 0.540], [0.770, 0.315, 0.044]],
  "rho_g_cm3": 5.82,
  "space_group": "No. 166",
  "formation_energy_uncorrected_ev_per_atom": -1.648,
  "crystal_system": "trigonal"
}

Record 8
{
  "formula": "NpUSi2",
  "functional": "PBE",
  "state": "optimized geometry",
  "lattice_angstrom": [[3.755, 0.374, -0.275], [-0.394, 3.753, -0.275], [0.298, 0.366, 4.547]],
  "species": ["Np", "U", "Si", "Si"],
  "fractional_positions": [[0.500, 0.000, 0.500], [0.000, 0.500, 0.500], [0.000, 0.000, 0.000], [0.500, 0.500, 0.000]],
  "rho_g_cm3": 13.48,
  "de_polymorph_mev_per_atom": 0,
  "space_group": "No. 123",
  "formation_energy_uncorrected_ev_per_atom": -0.084,
  "crystal_system": "tetragonal"
}

Record 9
{
  "formula": "Pm14NdTh",
  "functional": "PBE",
  "state": "optimized geometry",
  "lattice_angstrom": [[7.228, 0.970, 0.000], [-0.969, 7.228, 0.000], [0.000, 0.000, 10.340]],
  "species": ["Pm", "Pm", "Pm", "Pm", "Pm", "Pm", "Pm", "Pm", "Pm", "Pm", "Pm", "Pm", "Pm", "Pm", "Nd", "Th"],
  "fractional_positions": [[0.375, 0.625, 0.500], [0.875, 0.125, 0.500], [0.875, 0.625, 0.000], [0.875, 0.625, 0.500], [0.375, 0.125, 0.000], [0.375, 0.125, 0.500], [0.628, 0.878, 0.752], [0.628, 0.878, 0.248], [0.122, 0.372, 0.752], [0.122, 0.372, 0.248], [0.122, 0.878, 0.752], [0.122, 0.878, 0.248], [0.628, 0.372, 0.752], [0.628, 0.372, 0.248], [0.375, 0.625, 0.000], [0.875, 0.125, 0.000]],
  "rho_g_cm3": 7.27,
  "space_group": "No. 38",
  "formation_energy_ev_per_atom": 0.02,
  "crystal_system": "orthorhombic"
}

Record 10
{
  "formula": "Y2CdF",
  "functional": "PBE",
  "state": "optimized geometry",
  "lattice_angstrom": [[0.000, 3.623, 3.623], [3.623, 0.000, 3.623], [3.623, 3.623, 0.000]],
  "species": ["Y", "Y", "F", "Cd"],
  "fractional_positions": [[0.250, 0.250, 0.250], [0.750, 0.750, 0.750], [0.000, 0.000, 0.000], [0.500, 0.500, 0.500]],
  "rho_g_cm3": 5.40,
  "de_polymorph_mev_per_atom": 399,
  "space_group": "No. 225",
  "formation_energy_uncorrected_ev_per_atom": -0.828,
  "crystal_system": "cubic"
}

Record 11
{
  "formula": "NiHg2",
  "functional": "PBE",
  "state": "optimized geometry",
  "lattice_angstrom": [[2.326, -4.029, 0.000], [2.326, 4.029, 0.000], [0.000, 0.000, 5.842]],
  "species": ["Ni", "Ni", "Hg", "Hg", "Hg", "Hg"],
  "fractional_positions": [[0.333, 0.667, 0.750], [0.667, 0.333, 0.250], [0.000, 0.000, 0.000], [0.000, 0.000, 0.500], [0.333, 0.667, 0.250], [0.667, 0.333, 0.750]],
  "rho_g_cm3": 13.95,
  "space_group": "No. 194",
  "formation_energy_ev_per_atom": 0.33,
  "crystal_system": "hexagonal"
}

Record 12
{
  "formula": "Nd2Zn2Cu3",
  "functional": "PBE",
  "state": "optimized geometry",
  "lattice_angstrom": [[-3.625, -2.118, 0.886], [4.307, -3.419, -0.946], [0.115, 2.382, 6.168]],
  "species": ["Nd", "Nd", "Zn", "Zn", "Cu", "Cu", "Cu"],
  "fractional_positions": [[0.850, 0.701, 0.241], [0.150, 0.299, 0.759], [0.858, 0.715, 0.761], [0.142, 0.285, 0.239], [0.500, 0.000, 0.000], [0.596, 0.193, 0.415], [0.404, 0.807, 0.585]],
  "rho_g_cm3": 7.55,
  "space_group": "No. 12",
  "formation_energy_ev_per_atom": -0.22,
  "crystal_system": "monoclinic"
}

Copy entry 1 word for word.
{
  "formula": "Mg4TlCd",
  "functional": "PBE",
  "state": "optimized geometry",
  "lattice_angstrom": [[5.091, -1.801, -2.430], [1.745, -5.626, 0.609], [-0.073, -3.645, -4.667]],
  "species": ["Mg", "Mg", "Mg", "Mg", "Tl", "Cd"],
  "fractional_positions": [[0.876, 0.375, 0.375], [0.375, 0.375, 0.876], [0.375, 0.876, 0.375], [0.375, 0.375, 0.375], [0.750, 0.750, 0.750], [0.000, 0.000, 0.000]],
  "rho_g_cm3": 4.68,
  "de_polymorph_mev_per_atom": 105,
  "space_group": "No. 216",
  "formation_energy_ev_per_atom": 0.06,
  "crystal_system": "cubic"
}